No. 1
# AlIn2Au, optimized geometry, DFT PBE
# Raw total energy   -3.080 eV per atom
# SG   Immm, No. 71
data_AlIn2Au
_chemical_formula_sum 'Al1 In2 Au1'
_cell_length_a 5.340
_cell_length_b 5.340
_cell_length_c 5.340
_cell_angle_alpha 133.07
_cell_angle_beta 126.99
_cell_angle_gamma 73.47
_symmetry_space_group_name_H-M 'P 1'
_symmetry_Int_Tables_number 1
loop_
_symmetry_equiv_pos_as_xyz
'x,y,z'
loop_
_atom_site_label
_atom_site_type_symbol
_atom_site_fract_x
_atom_site_fract_y
_atom_site_fract_z
_atom_site_occupancy
Al1 Al 0.000 0.000 0.000 1
In1 In 0.253 0.753 0.500 1
In2 In 0.747 0.247 0.500 1
Au1 Au 0.500 0.500 0.000 1

***

No. 2
# Al2InAu9, optimized geometry, DFT PBE
# Raw total energy   -3.445 eV per atom
# SG   I4_1/amd, No. 141
data_Al2InAu9
_chemical_formula_sum 'Al4 In2 Au18'
_cell_length_a 9.030
_cell_length_b 9.030
_cell_length_c 9.030
_cell_angle_alpha 97.11
_cell_angle_beta 97.11
_cell_angle_gamma 138.80
_symmetry_space_group_name_H-M 'P 1'
_symmetry_Int_Tables_number 1
loop_
_symmetry_equiv_pos_as_xyz
'x,y,z'
loop_
_atom_site_label
_atom_site_type_symbol
_atom_site_fract_x
_atom_site_fract_y
_atom_site_fract_z
_atom_site_occupancy
Al1 Al 0.000 0.000 0.000 1
Al2 Al 0.000 0.000 0.500 1
Al3 Al 0.000 0.500 0.000 1
Al4 Al 0.500 0.000 0.500 1
In1 In 0.375 0.625 0.750 1
In2 In 0.625 0.375 0.250 1
Au1 Au 0.080 0.534 0.302 1
Au2 Au 0.080 0.778 0.546 1
Au3 Au 0.125 0.875 0.250 1
Au4 Au 0.222 0.267 0.302 1
Au5 Au 0.222 0.920 0.954 1
Au6 Au 0.267 0.222 0.802 1
Au7 Au 0.267 0.466 0.046 1
Au8 Au 0.466 0.267 0.546 1
Au9 Au 0.466 0.920 0.198 1
Au10 Au 0.534 0.080 0.802 1
Au11 Au 0.534 0.733 0.454 1
Au12 Au 0.733 0.534 0.954 1
Au13 Au 0.733 0.778 0.198 1
Au14 Au 0.778 0.080 0.046 1
Au15 Au 0.778 0.733 0.698 1
Au16 Au 0.875 0.125 0.750 1
Au17 Au 0.920 0.222 0.454 1
Au18 Au 0.920 0.466 0.698 1

***

No. 3
# Al2InAu, optimized geometry, DFT PBE
# Raw total energy   -3.355 eV per atom
# SG   I-4m2, No. 119
data_Al2InAu
_chemical_formula_sum 'Al2 In1 Au1'
_cell_length_a 5.205
_cell_length_b 5.205
_cell_length_c 5.205
_cell_angle_alpha 132.12
_cell_angle_beta 132.12
_cell_angle_gamma 70.04
_symmetry_space_group_name_H-M 'P 1'
_symmetry_Int_Tables_number 1
loop_
_symmetry_equiv_pos_as_xyz
'x,y,z'
loop_
_atom_site_label
_atom_site_type_symbol
_atom_site_fract_x
_atom_site_fract_y
_atom_site_fract_z
_atom_site_occupancy
Al1 Al 0.000 0.000 0.000 1
Al2 Al 0.750 0.250 0.500 1
In1 In 0.500 0.500 0.000 1
Au1 Au 0.250 0.750 0.500 1